# 1
LiLaSiPt2: optimized geometry, GGA-PBEsol.

a = 5.1048 Å, b = 5.1048 Å, c = 4.9045 Å
α = 90.00°, β = 90.00°, γ = 90.00°
Closest atoms and distances in Å follow each position.
Space group P4/mmm (No. 123)
One atom of each set of equivalent atoms:
Li 0.0000 0.0000 0.0000  2 La 2.45
La 0.0000 0.0000 0.5000  2 Li 2.45, 4 Pt 2.55
Si 0.5000 0.5000 0.0000  8 Pt 3.54, 4 Li 3.61
Pt 0.0000 0.5000 0.5000  2 La 2.55

Values from the calculation:
- DOS(E_F) (states/eV/cell) = 3.15
- uncorrected energy (eV per atom) = -4.303
- volume (A^3/atom) = 25.56



# 2
Li2LaRe: optimized geometry, GGA-PBEsol.

a = 3.5441 Å, b = 3.5441 Å, c = 5.5174 Å
α = 90.00°, β = 90.00°, γ = 90.00°
Closest atoms and distances in Å follow each position.
Space group P4/mmm (No. 123)
One atom of each set of equivalent atoms:
Li 0.0000 0.0000 0.1931  1 Li 2.13
La 0.5000 0.5000 0.5000  2 Re 2.76, 8 Li 3.02
Re 0.5000 0.5000 0.0000  8 Li 2.72, 2 La 2.76

Values from the calculation:
- DOS(E_F) (states/eV/cell) = 4.16
- ΔE_f (eV per atom) = 0.672
- volume (A^3/atom) = 17.33



# 3
LiLaRe2Rh: optimized geometry, GGA-PBEsol.

a = 4.7376 Å, b = 4.7376 Å, c = 4.2731 Å
α = 90.00°, β = 90.00°, γ = 90.00°
Closest atoms and distances in Å follow each position.
Space group P4/mmm (No. 123)
One atom of each set of equivalent atoms:
Li 0.0000 0.0000 0.0000  2 La 2.14
La 0.0000 0.0000 0.5000  2 Li 2.14, 4 Re 2.37
Re 0.0000 0.5000 0.5000  2 La 2.37
Rh 0.5000 0.5000 0.0000  8 Re 3.19, 4 Li 3.35

Values from the calculation:
- DOS(E_F) (states/eV/cell) = 5.70
- ΔE_f (eV per atom) = 2.359
- volume (A^3/atom) = 19.18



# 4
LiLaRh2: optimized geometry, GGA-PBEsol.

a = 4.1893 Å, b = 4.1893 Å, c = 3.8355 Å
α = 90.00°, β = 90.00°, γ = 90.00°
Closest atoms and distances in Å follow each position.
Space group P4/mmm (No. 123)
One atom of each set of equivalent atoms:
Li 0.0000 0.0000 0.0000  8 Rh 2.84, 4 La 2.96
La 0.5000 0.5000 0.0000  8 Rh 2.84, 4 Li 2.96
Rh 0.0000 0.5000 0.5000  4 La 2.84, 4 Li 2.84, 4 Rh 2.96

Values from the calculation:
- DOS(E_F) (states/eV/cell) = 2.17
- ΔE_f (eV per atom) = -0.354
- volume (A^3/atom) = 16.83



# 5
LiLaRh: optimized geometry, GGA-PBEsol.

a = 4.3506 Å, b = 4.3506 Å, c = 3.6871 Å
α = 90.00°, β = 90.00°, γ = 120.00°
Closest atoms and distances in Å follow each position.
Space group P-6m2 (No. 187)
One atom of each set of equivalent atoms:
Li 0.0000 0.0000 0.0000  3 Rh 2.51
La 0.6667 0.3333 0.5000  6 Li 3.12, 6 Rh 3.12
Rh 0.3333 0.6667 0.0000  3 Li 2.51

Values from the calculation:
- DOS(E_F) (states/eV/cell) = 2.37
- ΔE_f (eV per atom) = -0.260
- volume (A^3/atom) = 20.15



# 6
Li2LaRh: optimized geometry, GGA-PBEsol.

a = 3.9288 Å, b = 3.8067 Å, c = 5.9089 Å
α = 90.00°, β = 109.21°, γ = 90.00°
Closest atoms and distances in Å follow each position.
Space group Pm (No. 6)
One atom of each set of equivalent atoms:
Li 0.0000 0.0000 0.0000  2 Rh 2.59, 4 Li 2.82-2.83
Li 0.4371 0.5000 0.8758  4 Li 2.82-2.83, 3 Rh 3.13-3.15
La 0.7137 0.0000 0.4311  4 Rh 2.81, 2 Li 3.10-3.11
Rh 0.1571 0.5000 0.3154  2 Li 2.59, 4 La 2.81

Values from the calculation:
- DOS(E_F) (states/eV/cell) = 1.24
- ΔE_f (eV per atom) = -0.235
- volume (A^3/atom) = 20.86



# 7
Li2LaRh: optimized geometry, GGA-PBEsol.

a = 6.4906 Å, b = 6.4906 Å, c = 6.4906 Å
α = 90.00°, β = 90.00°, γ = 90.00°
Closest atoms and distances in Å follow each position.
Space group Fm-3m (No. 225)
One atom of each set of equivalent atoms:
Li 0.2500 0.2500 0.2500  4 La 2.81, 4 Rh 2.81
La 0.0000 0.0000 0.0000  8 Li 2.81
Rh 0.0000 0.0000 0.5000  8 Li 2.81

Values from the calculation:
- DOS(E_F) (states/eV/cell) = 9.22
- ΔE_f (eV per atom) = -0.056
- volume (A^3/atom) = 17.09



# 8
Li2LaRh: optimized geometry, GGA-PBEsol.

a = 3.9674 Å, b = 3.9674 Å, c = 9.3449 Å
α = 90.00°, β = 90.00°, γ = 90.00°
Closest atoms and distances in Å follow each position.
Space group I4/mmm (No. 139)
One atom of each set of equivalent atoms:
Li 0.0000 0.5000 0.2500  4 Li 2.81, 4 La 3.06, 4 Rh 3.06
La 0.0000 0.0000 0.0000  4 Rh 2.81, 8 Li 3.06
Rh 0.0000 0.0000 0.5000  4 La 2.81, 8 Li 3.06

Values from the calculation:
- DOS(E_F) (states/eV/cell) = 2.30
- ΔE_f (eV per atom) = -0.319
- volume (A^3/atom) = 18.39



# 9
LiLa2Ru: optimized geometry, GGA-PBEsol.

a = 7.1672 Å, b = 7.1672 Å, c = 7.1672 Å
α = 90.00°, β = 90.00°, γ = 90.00°
Closest atoms and distances in Å follow each position.
Space group Fm-3m (No. 225)
One atom of each set of equivalent atoms:
Li 0.0000 0.0000 0.0000  8 La 3.10
La 0.2500 0.2500 0.2500  4 Li 3.10, 4 Ru 3.10
Ru 0.0000 0.0000 0.5000  8 La 3.10

Values from the calculation:
- DOS(E_F) (states/eV/cell) = 9.69
- ΔE_f (eV per atom) = -0.061
- volume (A^3/atom) = 23.01



# 10
LiLa2Ru: optimized geometry, GGA-PBEsol.

a = 3.4616 Å, b = 3.4616 Å, c = 8.5863 Å
α = 90.00°, β = 90.00°, γ = 90.00°
Closest atoms and distances in Å follow each position.
Space group P4/mmm (No. 123)
One atom of each set of equivalent atoms:
Li 0.0000 0.0000 0.0000  4 Li 3.46, 8 La 3.55
La 0.5000 0.5000 0.2987  4 Ru 3.00
Ru 0.0000 0.0000 0.5000  8 La 3.00

Values from the calculation:
- DOS(E_F) (states/eV/cell) = 3.28
- ΔE_f (eV per atom) = -0.058
- volume (A^3/atom) = 25.72



# 11
LiLa3Ru: optimized geometry, GGA-PBEsol.

a = 5.4892 Å, b = 5.4892 Å, c = 5.4892 Å
α = 90.00°, β = 90.00°, γ = 90.00°
Closest atoms and distances in Å follow each position.
Space group Pm-3m (No. 221)
One atom of each set of equivalent atoms:
Li 0.0000 0.0000 0.0000  12 La 3.88
La 0.0000 0.5000 0.5000  2 Ru 2.74
Ru 0.5000 0.5000 0.5000  6 La 2.74

Values from the calculation:
- DOS(E_F) (states/eV/cell) = 4.97
- ΔE_f (eV per atom) = -0.034
- volume (A^3/atom) = 33.08



# 12
LiLa3Ru: optimized geometry, GGA-PBEsol.

a = 6.0285 Å, b = 7.6784 Å, c = 6.3439 Å
α = 90.00°, β = 90.00°, γ = 90.00°
Closest atoms and distances in Å follow each position.
Space group Pmma (No. 51)
One atom of each set of equivalent atoms:
Li 0.2500 0.0000 0.1608  10 La 3.57-3.84, 2 Li 3.64
La 0.2500 0.2249 0.6691  2 Ru 2.81
La 0.2500 0.5000 0.1376  2 Ru 2.75
Ru 0.0000 0.5000 0.5000  6 La 2.75-2.81, 2 Ru 3.01

Values from the calculation:
- DOS(E_F) (states/eV/cell) = 5.53
- ΔE_f (eV per atom) = -0.120
- volume (A^3/atom) = 29.37



Question: Look up the volume of the third one.
Answer: 19.18 A^3/atom



Question: DOS(E_F) of number 9 (LiLa2Ru)?
Answer: 9.69 states/eV/cell



Question: Among the records above, which one has the lowest DOS(E_F)?
Answer: number 6